Entry from Alexandria via LeMat-Bulk: B2Mo after structural relaxation (PBE).

abc: 4.421 4.416 5.845
angles: 90.00 112.11 90.00
Space group C2/c (No. 15)
One atom of each set of equivalent atoms:
B (0.084, 0.125, 0.419) x8
Mo (0.000, 0.374, 0.750) x4

Calculated values
- density of states at the Fermi level (states/eV/atom) = 0.298
- theoretical density (Mg/m³) = 7.39
- electronic total energy (eV per atom) = -8.35